Entry from the Alexandria database: crystalline LaPr2H at its relaxed geometry (PBE-GGA). Values from VASP.

Calculated values
ΔE to the lowest computed polymorph   0.306 eV/atom

Cell and atoms, written as Quantum ESPRESSO input:
```
&SYSTEM
  ibrav = 0, nat = 4, ntyp = 3
/
ATOMIC_SPECIES
La 138.91 La.upf
Pr 140.91 Pr.upf
H 1.01 H.upf
ATOMIC_POSITIONS angstrom
La 2.1135 0.0000 0.0000
Pr 0.0000 3.3094 0.0000
Pr 0.0000 1.6547 2.8660
H 0.0000 0.0000 0.0000
CELL_PARAMETERS angstrom
4.2270 0.0000 0.0000
0.0000 4.9641 -2.8660
0.0000 0.0000 5.7320
```